(1)
Computed, not measured: a geometry-optimized MgZrNi6 structure at the PBE level of DFT.

```
MgZrNi6
1.0
3.6911 -5.2518 0.0000
3.6911 5.2518 0.0000
0.0000 0.0000 10.4882
Mg Zr Ni
4 4 24
Direct
0.0000 0.0000 0.2476 Mg
0.0000 0.0000 0.7524 Mg
0.2547 0.7453 0.0000 Mg
0.7453 0.2547 0.0000 Mg
0.2532 0.7468 0.5000 Zr
0.5000 0.5000 0.2460 Zr
0.5000 0.5000 0.7540 Zr
0.7468 0.2532 0.5000 Zr
0.0000 0.0000 0.0000 Ni
0.0000 0.0000 0.5000 Ni
0.1184 0.3718 0.1227 Ni
0.1184 0.3718 0.8773 Ni
0.1225 0.3704 0.3727 Ni
0.1225 0.3704 0.6273 Ni
0.2489 0.7511 0.2464 Ni
0.2489 0.7511 0.7536 Ni
0.3704 0.1225 0.3727 Ni
0.3704 0.1225 0.6273 Ni
0.3718 0.1184 0.1227 Ni
0.3718 0.1184 0.8773 Ni
0.5000 0.5000 0.0000 Ni
0.5000 0.5000 0.5000 Ni
0.6282 0.8816 0.1227 Ni
0.6282 0.8816 0.8773 Ni
0.6296 0.8775 0.3727 Ni
0.6296 0.8775 0.6273 Ni
0.7511 0.2489 0.2464 Ni
0.7511 0.2489 0.7536 Ni
0.8775 0.6296 0.3727 Ni
0.8775 0.6296 0.6273 Ni
0.8816 0.6282 0.1227 Ni
0.8816 0.6282 0.8773 Ni
```

***

(2)
Computed, not measured: a geometry-optimized MgZrNi2 structure at the PBE level of DFT.

```
MgZrNi2
1.0
3.2080 0.0000 0.0000
-1.6040 2.7782 0.0000
0.0000 0.0000 22.8066
Mg Zr Ni
3 3 6
Direct
0.0000 0.0000 0.0000 Mg
0.3333 0.6667 0.6667 Mg
0.6667 0.3333 0.3333 Mg
0.0000 0.0000 0.5000 Zr
0.3333 0.6667 0.1667 Zr
0.6667 0.3333 0.8333 Zr
0.0000 0.0000 0.2469 Ni
0.0000 0.0000 0.7531 Ni
0.3333 0.6667 0.4198 Ni
0.3333 0.6667 0.9135 Ni
0.6667 0.3333 0.0865 Ni
0.6667 0.3333 0.5802 Ni
```

***

Values for electronic total energy, eV per atom, ordered as above
-5.860 -5.452
Values for total moment, μB/cell, ordered as above
4.35 0.00
Values for Fermi-level density of states, states/eV/cell, ordered as above
34.56 3.70